Below is a geometry-optimized Ba4ZrCr structure, with properties calculated at the PBE level.

a b c (Å): 7.206 7.206 7.206
angles (deg): 60.00 60.00 60.00
Each line ends with the local moment (μB).
Element x y z (fractional)
Ba: 0.876 0.375 0.375  0.13
Ba: 0.375 0.876 0.375  0.13
Ba: 0.375 0.375 0.375  0.13
Ba: 0.375 0.375 0.876  0.13
Cr: 0.750 0.750 0.750  -4.11
Zr: 0.000 0.000 0.000  1.47

Calculated values
VASP energy (eV per atom): -3.2398


Below is a geometry-optimized HfSc2Ag2 structure, with properties calculated at the PBE level.

a b c (Å): 7.920 7.920 3.354
angles (deg): 90.00 90.00 90.00
Element x y z (fractional)
Sc: 0.330 0.170 0.500
Sc: 0.170 0.670 0.500
Sc: 0.670 0.830 0.500
Sc: 0.830 0.330 0.500
Hf: 0.500 0.500 0.000
Hf: 0.000 0.000 0.000
Ag: 0.629 0.129 0.000
Ag: 0.371 0.871 0.000
Ag: 0.129 0.371 0.000
Ag: 0.871 0.629 0.000

Calculated values
Polymorph energy (0 for the lowest one) (meV/atom): 0